w) PbW2Se: optimized geometry, PBE.

a b c (Å): 9.219 9.219 9.219
angles (deg): 19.19 19.19 19.19
Atoms (fractional coordinates):
W 0.011 0.011 0.011
Se 0.750 0.750 0.750
W 0.489 0.489 0.489
Pb 0.250 0.250 0.250

## Properties
The value obtained for the spin magnetization is 0.0000 μB/atom. As for the space-group type: R-3m, No. 166.

=====

x) PbW2Se: optimized geometry, PBE.

a b c (Å): 5.703 5.703 5.703
angles (deg): 149.42 125.13 64.13
Atoms (fractional coordinates):
W 0.465 0.465 0.000
W 0.035 0.035 0.000
Pb 0.750 0.250 0.500
Se 0.250 0.750 0.500

## Properties
The value obtained for the spin magnetization is 0.0000 μB/atom. As for the space-group type: Immm, No. 71.

=====

y) PbW2Se: optimized geometry, PBE.

a b c (Å): 4.794 4.794 5.839
angles (deg): 79.29 79.29 39.49
Atoms (fractional coordinates):
W 0.725 0.725 0.814
Pb 0.490 0.490 0.534
W 0.012 0.012 0.013
Se 0.274 0.274 0.139

## Properties
The value obtained for the spin magnetization is 0.0000 μB/atom. As for the space-group type: Cm, No. 8.

=====

z) PbW2Se: optimized geometry, PBE.

a b c (Å): 4.460 5.846 3.468
angles (deg): 73.28 88.66 112.00
Atoms (fractional coordinates):
W 0.500 0.000 0.500
W 0.000 0.000 0.000
Se 0.500 0.500 0.000
Pb 0.000 0.500 0.500

## Properties
The value obtained for the spin magnetization is 0.0000 μB/atom. As for the space-group type: C2/m, No. 12.

=====

Question: of the structures shown, which is the most stable? Reply: y).